Below is an optimized crystal structure of CdReNO, with properties calculated at the PBE level.

Structure (POSCAR):
```
CdReNO
1.0
0.668 -0.750 3.767
-2.931 -2.571 0.008
4.621 -5.274 -1.869
Cd N O Re
2 2 2 2
Direct
0.250 0.250 0.141
0.750 0.750 0.859
0.750 0.750 0.406
0.250 0.250 0.594
0.250 0.750 0.000
0.750 0.250 0.000
0.750 0.250 0.500
0.250 0.750 0.500
```

Results
Crystal system   tetragonal
Theoretical density   9893 kg/m3
Energy relative to the lowest polymorph listed for this composition   471 meV per atom